DFT (PBEsol) results for a geometry-optimized Sb2TeIO structure.

Calculated values
Formation energy (no corrections): 1.57 eV/atom
Electronic total energy: -2.3596 eV per atom
Total moment: 2.475 Bohr magnetons per cell

Geometry as CIF:
```
data_Sb2TeIO
_cell_length_a 5.788
_cell_length_b 5.788
_cell_length_c 5.754
_cell_angle_alpha 90.00
_cell_angle_beta 90.00
_cell_angle_gamma 90.00
_symmetry_space_group_name_H-M 'P 4/m m m'
_symmetry_Int_Tables_number 123
_symmetry_space_group_name_Hall '-P 4 2'
loop_
_atom_site_label
_atom_site_type_symbol
_atom_site_fract_x
_atom_site_fract_y
_atom_site_fract_z
Sb1 Sb 0.000 0.500 0.000
Te1 Te 0.000 0.000 0.500
I1 I 0.000 0.000 0.000
O1 O 0.500 0.500 0.500
```